Entry 1:
The following is a PBE calculation of a relaxed structure of MgPdSO, from the Open Quantum Materials Database.

a b c (Å): 6.179 6.179 5.874
angles (deg): 90.00 90.00 148.13
Atoms (fractional coordinates):
Mg: 0.201 0.799 0.500
Mg: 0.799 0.201 0.000
Pd: 0.496 0.504 0.682
Pd: 0.504 0.496 0.182
S: 0.125 0.875 0.930
S: 0.875 0.125 0.430
O: 0.378 0.622 0.937
O: 0.622 0.378 0.437

Properties
**V**: 118.4 Å³/cell
**ΔE to the lowest computed polymorph**: 259 meV/atom

---

Entry 2:
The following is a PBE calculation of a relaxed structure of MgPdSO, from the Open Quantum Materials Database.

a b c (Å): 3.244 3.244 10.441
angles (deg): 90.00 90.00 90.00
Atoms (fractional coordinates):
Mg: 0.250 0.250 0.102
Mg: 0.750 0.750 0.898
Pd: 0.250 0.250 0.702
Pd: 0.750 0.750 0.298
S: 0.250 0.750 0.500
S: 0.750 0.250 0.500
O: 0.250 0.250 0.910
O: 0.750 0.750 0.090

Properties
**V**: 109.9 Å³/cell
**ΔE to the lowest computed polymorph**: 394 meV/atom

---

Entry 3:
The following is a PBE calculation of a relaxed structure of MgPdSO, from the Open Quantum Materials Database.

a b c (Å): 6.808 6.595 5.863
angles (deg): 90.00 90.00 90.00
Atoms (fractional coordinates):
Mg: 0.102 0.119 0.000
Mg: 0.398 0.119 0.500
Mg: 0.602 0.881 0.000
Mg: 0.898 0.881 0.500
Pd: 0.005 0.496 0.323
Pd: 0.495 0.496 0.823
Pd: 0.505 0.504 0.323
Pd: 0.995 0.504 0.823
S: 0.057 0.207 0.575
S: 0.443 0.207 0.075
S: 0.557 0.793 0.575
S: 0.943 0.793 0.075
O: 0.096 0.685 0.574
O: 0.404 0.685 0.074
O: 0.596 0.315 0.574
O: 0.904 0.315 0.074

Properties
**V**: 263.3 Å³/cell
**ΔE to the lowest computed polymorph**: 316 meV/atom

---

- Which of these has the highest ΔE to the lowest computed polymorph?
  number 2